Entry 1:
First-principles (GGA-PBE) data for a relaxed Tb2TmLu crystal, as listed in Alexandria. Values from VASP.

- SG = R-3m
- formation enthalpy at 0 K (meV/atom) = 24.8

Cell and atoms, written as Quantum ESPRESSO input:
```
&SYSTEM
  ibrav = 0, nat = 4, ntyp = 3
/
ATOMIC_SPECIES
Tb 158.93 Tb.upf
Lu 174.97 Lu.upf
Tm 168.93 Tm.upf
ATOMIC_POSITIONS crystal
Tb 0.7502 0.7502 0.7494
Tb 0.2498 0.2498 0.2506
Lu 0.5000 0.5000 0.5000
Tm 0.0000 0.0000 0.0000
CELL_PARAMETERS angstrom
3.5143 0.0000 0.0000
1.7571 3.0435 0.0000
1.7571 1.0145 11.4026
```

***

Entry 2:
First-principles (GGA-PBE) data for a relaxed Tb2TmLu crystal, as listed in Alexandria. Values from VASP.

- SG = P4/mmm
- formation enthalpy at 0 K (meV/atom) = 25.1

Cell and atoms, written as Quantum ESPRESSO input:
```
&SYSTEM
  ibrav = 0, nat = 4, ntyp = 3
/
ATOMIC_SPECIES
Tb 158.93 Tb.upf
Lu 174.97 Lu.upf
Tm 168.93 Tm.upf
ATOMIC_POSITIONS crystal
Tb 0.0000 0.0000 0.7509
Tb 0.0000 0.0000 0.2491
Lu 0.5000 0.5000 0.0000
Tm 0.5000 0.5000 0.5000
CELL_PARAMETERS angstrom
3.5135 0.0000 0.0000
0.0000 3.5135 0.0000
0.0000 0.0000 9.9120
```

***

Entry 3:
First-principles (GGA-PBE) data for a relaxed TbTm2Lu crystal, as listed in Alexandria. Values from VASP.

- SG = P4/mmm
- formation enthalpy at 0 K (meV/atom) = 28.1

Cell and atoms, written as Quantum ESPRESSO input:
```
&SYSTEM
  ibrav = 0, nat = 4, ntyp = 3
/
ATOMIC_SPECIES
Tb 158.93 Tb.upf
Lu 174.97 Lu.upf
Tm 168.93 Tm.upf
ATOMIC_POSITIONS crystal
Tb 0.5000 0.5000 0.5000
Lu 0.5000 0.0000 0.0000
Tm 0.0000 0.0000 0.5000
Tm 0.0000 0.5000 0.0000
CELL_PARAMETERS angstrom
-3.5029 1.8374 -2.9682
2.0165 -2.3566 -3.8386
-2.8407 -3.9293 0.9200
```

***

Number 1: N(E_F) 1.389 states/eV per atom, electronic total energy -18.2 eV for the cell shown. Number 2: N(E_F) 1.383 states/eV per atom, electronic total energy -18.2 eV for the cell shown. Number 3: N(E_F) 1.449 states/eV per atom, electronic total energy -18.0 eV for the cell shown.